The following is a DFT calculation (GGA+U) of a geometry-optimized K3V3As2O14 structure.

Cell lengths 7.935, 10.347, 16.663 Å; angles 90.00, 90.00, 90.00 degrees
Fractional positions:
1 K 0.421 0.038 0.390
2 K 0.458 0.347 0.750
3 K 0.579 0.962 0.610
4 K 0.958 0.153 0.750
5 K 0.421 0.038 0.110
6 K 0.542 0.653 0.250
7 K 0.579 0.962 0.890
8 K 0.921 0.462 0.110
9 K 0.079 0.538 0.890
10 K 0.079 0.538 0.610
11 K 0.921 0.462 0.390
12 K 0.042 0.847 0.250
13 V 0.799 0.784 0.443
14 V 0.737 0.729 0.750
15 V 0.201 0.216 0.943
16 V 0.299 0.716 0.057
17 V 0.763 0.229 0.250
18 V 0.701 0.284 0.943
19 V 0.237 0.771 0.750
20 V 0.701 0.284 0.557
21 V 0.263 0.271 0.250
22 V 0.201 0.216 0.557
23 V 0.299 0.716 0.443
24 V 0.799 0.784 0.057
25 As 0.609 0.596 0.925
26 As 0.109 0.904 0.925
27 As 0.891 0.096 0.425
28 As 0.391 0.404 0.425
29 As 0.109 0.904 0.575
30 As 0.609 0.596 0.575
31 As 0.391 0.404 0.075
32 As 0.891 0.096 0.075
33 O 0.087 0.121 0.464
34 O 0.413 0.621 0.964
35 O 0.587 0.379 0.464
36 O 0.900 0.628 0.750
37 O 0.781 0.627 0.514
38 O 0.810 0.704 0.356
39 O 0.100 0.372 0.250
40 O 0.881 0.205 0.346
41 O 0.413 0.621 0.536
42 O 0.097 0.677 0.456
43 O 0.119 0.795 0.654
44 O 0.119 0.795 0.846
45 O 0.781 0.627 0.986
46 O 0.097 0.677 0.044
47 O 0.400 0.872 0.750
48 O 0.881 0.205 0.154
49 O 0.701 0.382 0.250
50 O 0.281 0.873 0.986
51 O 0.126 0.055 0.617
52 O 0.126 0.055 0.883
53 O 0.810 0.704 0.144
54 O 0.587 0.379 0.036
55 O 0.799 0.882 0.750
56 O 0.626 0.445 0.617
57 O 0.299 0.618 0.750
58 O 0.087 0.121 0.036
59 O 0.913 0.879 0.964
60 O 0.597 0.823 0.456
61 O 0.626 0.445 0.883
62 O 0.719 0.127 0.014
63 O 0.310 0.796 0.144
64 O 0.381 0.295 0.346
65 O 0.903 0.323 0.956
66 O 0.690 0.204 0.856
67 O 0.201 0.118 0.250
68 O 0.190 0.296 0.856
69 O 0.374 0.555 0.117
70 O 0.619 0.705 0.654
71 O 0.219 0.373 0.486
72 O 0.874 0.945 0.383
73 O 0.403 0.177 0.956
74 O 0.903 0.323 0.544
75 O 0.874 0.945 0.117
76 O 0.281 0.873 0.514
77 O 0.219 0.373 0.014
78 O 0.374 0.555 0.383
79 O 0.913 0.879 0.536
80 O 0.619 0.705 0.846
81 O 0.381 0.295 0.154
82 O 0.403 0.177 0.544
83 O 0.310 0.796 0.356
84 O 0.190 0.296 0.644
85 O 0.719 0.127 0.486
86 O 0.690 0.204 0.644
87 O 0.600 0.128 0.250
88 O 0.597 0.823 0.044

Values from the calculation:
VASP energy, eV/atom: -6.48
Crystal system: orthorhombic
Symmetry: Pnma (62)
Calculated volume, A^3/atom: 15.55